The following is a DFT calculation (PBE) of Sc2CuRh2 after structural relaxation.

abc: 6.8135 6.8135 3.7008
angles: 90.00 90.00 90.00
Last column: nearest neighbours and their distance in Å.
Fractional positions:
1 Sc 0.1675 0.3325 0.0000  6 Rh 2.61-2.81
2 Sc 0.3325 0.8325 0.0000  6 Rh 2.61-2.81
3 Sc 0.6675 0.1675 0.0000  6 Rh 2.61-2.81
4 Sc 0.8325 0.6675 0.0000  6 Rh 2.61-2.81
5 Cu 0.0000 0.0000 0.5000  4 Rh 2.63
6 Cu 0.5000 0.5000 0.5000  4 Rh 2.63
7 Rh 0.1411 0.6411 0.5000  6 Sc 2.61-2.81, 2 Cu 2.63, 1 Rh 2.72
8 Rh 0.3589 0.1411 0.5000  6 Sc 2.61-2.81, 2 Cu 2.63, 1 Rh 2.72
9 Rh 0.6411 0.8589 0.5000  6 Sc 2.61-2.81, 2 Cu 2.63, 1 Rh 2.72
10 Rh 0.8589 0.3589 0.5000  6 Sc 2.61-2.81, 2 Cu 2.63, 1 Rh 2.72

Uncorrected energy: -69.326 eV per cell
Symmetry: No. 127
Fermi-level density of states: 7.4 states/eV per cell
Formation energy: -0.640 eV/atom

The following is a DFT calculation (PBE) of Sc2CuRh after structural relaxation.

abc: 4.6012 4.6012 3.2390
angles: 90.00 90.00 90.00
Last column: nearest neighbours and their distance in Å.
Fractional positions:
1 Sc 0.0000 0.5000 0.0000  4 Cu 2.81, 4 Rh 2.81
2 Sc 0.5000 0.0000 0.0000  4 Cu 2.81, 4 Rh 2.81
3 Cu 0.0000 0.0000 0.5000  8 Sc 2.81
4 Rh 0.5000 0.5000 0.5000  8 Sc 2.81

Uncorrected energy: -26.665 eV per cell
Symmetry: No. 123
Fermi-level density of states: 2.5 states/eV per cell
Formation energy: -0.639 eV/atom

The following is a DFT calculation (PBE) of ScCu2Rh after structural relaxation.

abc: 3.1195 3.3848 5.6107
angles: 90.00 90.20 90.00
Last column: nearest neighbours and their distance in Å.
Fractional positions:
1 Sc 0.0000 0.0000 0.0000  4 Rh 2.69, 6 Cu 2.77-2.84
2 Cu 0.9998 0.0000 0.4939  4 Cu 2.57-2.58, 4 Rh 2.72-2.73, 2 Sc 2.77-2.84
3 Cu 0.5000 0.5000 0.2883  4 Cu 2.57-2.58, 1 Rh 2.61, 4 Sc 2.81-2.82
4 Rh 0.4981 0.5000 0.7528  5 Cu 2.61-2.73, 4 Sc 2.69

Uncorrected energy: -23.334 eV per cell
Symmetry: No. 6
Fermi-level density of states: 1.5 states/eV per cell
Formation energy: -0.365 eV/atom

The following is a DFT calculation (PBE) of Sc11Cu9Rh4 after structural relaxation.

abc: 11.6092 11.6092 3.3008
angles: 90.00 90.00 111.66
Last column: nearest neighbours and their distance in Å.
Fractional positions:
1 Sc 0.0000 0.0000 0.0000  8 Cu 2.78
2 Sc 0.0726 0.4133 0.0000  2 Rh 2.66, 4 Cu 2.83-2.84
3 Sc 0.1740 0.8260 0.0000  8 Cu 2.79-2.89
4 Sc 0.2569 0.2569 0.0000  4 Rh 2.67, 4 Cu 2.88
5 Sc 0.3639 0.6361 0.0000  4 Rh 2.72, 4 Cu 2.90
6 Sc 0.4133 0.0726 0.0000  2 Rh 2.66, 4 Cu 2.83-2.84
7 Sc 0.5867 0.9274 0.0000  2 Rh 2.66, 4 Cu 2.83-2.84
8 Sc 0.6361 0.3639 0.0000  4 Rh 2.72, 4 Cu 2.90
9 Sc 0.7431 0.7431 0.0000  4 Rh 2.67, 4 Cu 2.88
10 Sc 0.8260 0.1740 0.0000  8 Cu 2.79-2.89
11 Sc 0.9274 0.5867 0.0000  2 Rh 2.66, 4 Cu 2.83-2.84
12 Cu 0.0399 0.2041 0.5000  8 Sc 2.78-2.89, 1 Rh 2.97
13 Cu 0.1557 0.6268 0.5000  8 Sc 2.79-3.01, 1 Cu 2.84, 1 Rh 2.87
14 Cu 0.2041 0.0399 0.5000  8 Sc 2.78-2.89, 1 Rh 2.97
15 Cu 0.3732 0.8443 0.5000  8 Sc 2.79-3.01, 1 Cu 2.84, 1 Rh 2.87
16 Cu 0.5000 0.5000 0.5000  4 Rh 2.61
17 Cu 0.6268 0.1557 0.5000  8 Sc 2.79-3.01, 1 Cu 2.84, 1 Rh 2.87
18 Cu 0.7959 0.9601 0.5000  8 Sc 2.78-2.89, 1 Rh 2.97
19 Cu 0.8443 0.3732 0.5000  8 Sc 2.79-3.01, 1 Cu 2.84, 1 Rh 2.87
20 Cu 0.9601 0.7959 0.5000  8 Sc 2.78-2.89, 1 Rh 2.97
21 Rh 0.2601 0.4383 0.5000  2 Cu 2.61-2.87, 6 Sc 2.66-2.72
22 Rh 0.4383 0.2601 0.5000  2 Cu 2.61-2.87, 6 Sc 2.66-2.72
23 Rh 0.5617 0.7399 0.5000  2 Cu 2.61-2.87, 6 Sc 2.66-2.72
24 Rh 0.7399 0.5617 0.5000  2 Cu 2.61-2.87, 6 Sc 2.66-2.72

Uncorrected energy: -146.525 eV per cell
Symmetry: No. 65
Fermi-level density of states: 15.5 states/eV per cell
Formation energy: -0.442 eV/atom

The following is a DFT calculation (PBE) of Sc3CuRh after structural relaxation.

abc: 9.2212 9.2212 4.6060
angles: 90.00 90.00 151.05
Last column: nearest neighbours and their distance in Å.
Fractional positions:
1 Sc 0.0711 0.9289 0.7500  2 Rh 2.77, 2 Cu 2.79
2 Sc 0.2497 0.7503 0.7500  4 Cu 2.82, 4 Rh 2.84
3 Sc 0.4282 0.5718 0.7500  2 Rh 2.76, 2 Cu 2.78
4 Sc 0.5718 0.4282 0.2500  2 Rh 2.76, 2 Cu 2.78
5 Sc 0.7503 0.2497 0.2500  4 Cu 2.82, 4 Rh 2.84
6 Sc 0.9289 0.0711 0.2500  2 Rh 2.77, 2 Cu 2.79
7 Cu 0.3408 0.6592 0.2500  8 Sc 2.78-2.82
8 Cu 0.6592 0.3408 0.7500  8 Sc 2.78-2.82
9 Rh 0.1570 0.8430 0.2500  8 Sc 2.76-2.84
10 Rh 0.8430 0.1570 0.7500  8 Sc 2.76-2.84

Uncorrected energy: -65.871 eV per cell
Symmetry: No. 63
Fermi-level density of states: 9.1 states/eV per cell
Formation energy: -0.499 eV/atom

The following is a DFT calculation (PBE) of ScCu2Rh after structural relaxation.

abc: 9.8422 9.8422 9.8422
angles: 158.66 158.66 30.36
Last column: nearest neighbours and their distance in Å.
Fractional positions:
1 Sc 0.0000 0.0000 0.0000  4 Rh 2.58, 4 Cu 2.73
2 Sc 0.7500 0.2500 0.5000  4 Rh 2.58, 4 Cu 2.73
3 Cu 0.1471 0.6250 0.0221  4 Cu 2.47-2.69, 2 Rh 2.68, 2 Sc 2.73
4 Cu 0.3750 0.3971 0.5221  4 Cu 2.47-2.69, 2 Rh 2.68, 2 Sc 2.73
5 Cu 0.6029 0.1250 0.9779  4 Cu 2.47-2.69, 2 Rh 2.68, 2 Sc 2.73
6 Cu 0.8750 0.8529 0.4779  4 Cu 2.47-2.69, 2 Rh 2.68, 2 Sc 2.73
7 Rh 0.2500 0.7500 0.5000  4 Sc 2.58, 4 Cu 2.68
8 Rh 0.5000 0.5000 0.0000  4 Sc 2.58, 4 Cu 2.68

Uncorrected energy: -44.863 eV per cell
Symmetry: No. 122
Fermi-level density of states: 3.3 states/eV per cell
Formation energy: -0.139 eV/atom